Compound: Hf3InB
Source: the Alexandria database
Functional: PBE-GGA
Structure: optimized geometry

Lattice parameters (Å, degrees): 6.021 7.734 8.764 90.00 90.00 90.00
Sites, in units of the cell vectors:
Hf 0.052 0.063 0.157
Hf 0.052 0.437 0.157
Hf 0.221 0.250 0.782
Hf 0.279 0.750 0.282
Hf 0.448 0.563 0.657
Hf 0.448 0.937 0.657
Hf 0.552 0.063 0.343
Hf 0.552 0.437 0.343
Hf 0.721 0.250 0.718
Hf 0.779 0.750 0.218
Hf 0.948 0.563 0.843
Hf 0.948 0.937 0.843
In 0.000 0.000 0.500
In 0.000 0.500 0.500
In 0.500 0.000 0.000
In 0.500 0.500 0.000
B 0.069 0.750 0.041
B 0.431 0.250 0.541
B 0.569 0.750 0.459
B 0.931 0.250 0.959

Computed properties:
V = 408 Å³/cell
total DFT energy (no corrections) = -154.584 eV/cell
magnetization = 0.000 μB per formula unit